Density functional theory data (PBE-GGA) for crystalline AgIrW2 at its relaxed geometry.

calculated formation energy = 47.0 kJ per mole of atoms
final energy = -8.913 eV/atom
magnetic moment = 0.00 Bohr magnetons per cell

Unit cell a=4.490 b=4.490 c=4.490 alpha=60.00 beta=60.00 gamma=60.00
Atoms (fractional coordinates):
Ag 0.000 0.000 0.000
Ir 0.750 0.750 0.750
W 0.250 0.250 0.250
W 0.500 0.500 0.500